A plane-wave DFT calculation with GGA-PBE was carried out for Tb3Ga2H after structural relaxation.

Cell lengths 6.341, 6.341, 8.144 Å; angles 102.06, 102.06, 57.41 degrees
Element x y z (fractional)
Tb 0.121 0.879 0.750
Tb 0.229 0.477 0.349
Tb 0.477 0.229 0.849
Tb 0.523 0.771 0.151
Tb 0.771 0.523 0.651
Tb 0.879 0.121 0.250
Ga 0.023 0.293 0.012
Ga 0.293 0.023 0.512
Ga 0.707 0.977 0.488
Ga 0.977 0.707 0.988
H 0.473 0.527 0.750
H 0.527 0.473 0.250

Values from the calculation:
Electronic total energy: -4.3772 eV per atom